No. 1
Density functional theory data (PBE) for crystalline Ac2Al3InPt4 at its relaxed geometry.

abc: 4.467 4.467 10.724
angles: 90.00 90.00 90.00
Fractional coordinates of all 10 atoms:
Ac (0.500, 0.000, 0.245)
Ac (0.000, 0.500, 0.755)
Al (0.000, 0.000, 0.500)
Al (0.500, 0.000, 0.884)
Al (0.000, 0.500, 0.116)
In (0.500, 0.500, 0.500)
Pt (0.500, 0.500, 0.000)
Pt (0.000, 0.000, 0.000)
Pt (0.500, 0.000, 0.647)
Pt (0.000, 0.500, 0.353)

Summary:
Energy relative to the elements ... -10.1 eV per formula unit
Volume ... 214.0 Å³/f.u.
Magnetic moment ... 0.00 μB per cell
Symmetry ... P-4m2



No. 2
Density functional theory data (PBE) for crystalline TaTiMoRu at its relaxed geometry.

abc: 3.160 3.160 6.354
angles: 90.00 90.00 90.00
Fractional coordinates of all 4 atoms:
Ta (0.500, 0.500, 0.609)
Ti (0.500, 0.500, 0.107)
Mo (0.000, 0.000, 0.353)
Ru (0.000, 0.000, 0.859)

Summary:
Energy relative to the elements ... -1.6 eV per formula unit
Volume ... 63.5 Å³/f.u.
Magnetic moment ... 0.00 μB per cell
Symmetry ... P4mm
Distance to the lowest polymorph of the same formula ... 0.011 eV/atom



No. 3
Density functional theory data (PBE) for crystalline Re4Tc3Rh at its relaxed geometry.

abc: 5.231 5.231 6.521
angles: 54.76 54.75 63.97
Fractional coordinates of all 8 atoms:
Re (0.959, 0.834, 0.706)
Re (0.459, 0.834, 0.206)
Re (0.459, 0.334, 0.706)
Re (0.960, 0.335, 0.206)
Rh (0.040, 0.415, 0.544)
Tc (0.539, 0.420, 0.041)
Tc (0.538, 0.913, 0.549)
Tc (0.045, 0.914, 0.041)

Summary:
Energy relative to the elements ... -0.6 eV per formula unit
Volume ... 117.5 Å³/f.u.
Magnetic moment ... 0.00 μB per cell
Symmetry ... Fmm2



Taking the records one at a time from the top gives E_tot values of -5.64; -10.37; -11.10 eV per atom.